Entry 1:
# PBE Li3AlOs, relaxed
# Spin magnetization ... 0.29 μB/atom
# Calculated total energy ... -2.8653 eV/atom
# Polymorph energy (0 for the lowest one) ... 0.210 eV/atom
# Formation enthalpy at 0 K ... 1.277 eV/atom
# Calculated volume ... 84.49 Å³ per cell
data_Li3AlOs
_chemical_formula_sum 'Li3 Al1 Os1'
_space_group_name_H-M_alt 'P m -3 m'
_space_group_IT_number 221
_space_group_name_Hall '-P 4 2 3'
_cell_length_a 4.388
_cell_length_b 4.388
_cell_length_c 4.388
_cell_angle_alpha 90.00
_cell_angle_beta 90.00
_cell_angle_gamma 90.00
loop_
_atom_site_label
_atom_site_fract_x
_atom_site_fract_y
_atom_site_fract_z
Li1 0.000 0.000 0.500
Al1 0.000 0.000 0.000
Os1 0.500 0.500 0.500


Entry 2:
# PBE LiAlOs2, relaxed
# Spin magnetization ... 0.00 μB/atom
# Calculated total energy ... -7.0040 eV/atom
# Formation enthalpy at 0 K ... 0.025 eV/atom
# Calculated volume ... 107.98 Å³ per cell
data_LiAlOs2
_chemical_formula_sum 'Li2 Al2 Os4'
_space_group_name_H-M_alt 'I m m 2'
_space_group_IT_number 44
_space_group_name_Hall 'I 2 -2'
_cell_length_a 2.907
_cell_length_b 4.250
_cell_length_c 8.739
_cell_angle_alpha 90.00
_cell_angle_beta 90.00
_cell_angle_gamma 90.00
loop_
_atom_site_label
_atom_site_fract_x
_atom_site_fract_y
_atom_site_fract_z
Li1 0.000 0.000 0.000
Al1 0.000 0.500 0.245
Os1 0.000 0.000 0.496
Os2 0.000 0.500 0.753


Entry 3:
# PBE LiAl2Os, relaxed
# Spin magnetization ... 0.00 μB/atom
# Calculated total energy ... -5.2492 eV/atom
# Polymorph energy (0 for the lowest one) ... 0.310 eV/atom
# Formation enthalpy at 0 K ... -0.092 eV/atom
# Calculated volume ... 188.48 Å³ per cell
data_LiAl2Os
_chemical_formula_sum 'Li3 Al6 Os3'
_space_group_name_H-M_alt 'R -3 m'
_space_group_IT_number 166
_space_group_name_Hall '-R 3 2"'
_cell_length_a 2.8756
_cell_length_b 2.8756
_cell_length_c 26.3191
_cell_angle_alpha 90.00
_cell_angle_beta 90.00
_cell_angle_gamma 120.00
loop_
_atom_site_label
_atom_site_fract_x
_atom_site_fract_y
_atom_site_fract_z
Li1 0.0000 0.0000 0.0000
Al1 0.0000 0.0000 0.2424
Os1 0.0000 0.0000 0.5000


Entry 4:
# PBE Li2AlOs, relaxed
# Spin magnetization ... 0.00 μB/atom
# Calculated total energy ... -4.2699 eV/atom
# Formation enthalpy at 0 K ... 0.430 eV/atom
# Calculated volume ... 228.59 Å³ per cell
data_Li2AlOs
_chemical_formula_sum 'Li8 Al4 Os4'
_space_group_name_H-M_alt 'I -4 2 d'
_space_group_IT_number 122
_space_group_name_Hall 'I -4 2bw'
_cell_length_a 6.845
_cell_length_b 6.845
_cell_length_c 4.879
_cell_angle_alpha 90.00
_cell_angle_beta 90.00
_cell_angle_gamma 90.00
loop_
_atom_site_label
_atom_site_fract_x
_atom_site_fract_y
_atom_site_fract_z
Li1 0.248 0.250 0.125
Al1 0.000 0.000 0.000
Os1 0.000 0.000 0.500


Entry 5:
# PBE Li2AlOs, relaxed
# Spin magnetization ... 0.13 μB/atom
# Calculated total energy ... -4.6755 eV/atom
# Formation enthalpy at 0 K ... 0.025 eV/atom
# Calculated volume ... 55.80 Å³ per cell
data_Li2AlOs
_chemical_formula_sum 'Li2 Al1 Os1'
_space_group_name_H-M_alt 'P 4/m m m'
_space_group_IT_number 123
_space_group_name_Hall '-P 4 2'
_cell_length_a 3.570
_cell_length_b 3.570
_cell_length_c 4.378
_cell_angle_alpha 90.00
_cell_angle_beta 90.00
_cell_angle_gamma 90.00
loop_
_atom_site_label
_atom_site_fract_x
_atom_site_fract_y
_atom_site_fract_z
Li1 0.000 0.500 0.000
Al1 0.000 0.000 0.500
Os1 0.500 0.500 0.500


Entry 6:
# PBE Li2AlOs, relaxed
# Spin magnetization ... 0.00 μB/atom
# Calculated total energy ... -4.7580 eV/atom
# Formation enthalpy at 0 K ... -0.058 eV/atom
# Calculated volume ... 58.04 Å³ per cell
data_Li2AlOs
_chemical_formula_sum 'Li2 Al1 Os1'
_space_group_name_H-M_alt 'P m m 2'
_space_group_IT_number 25
_space_group_name_Hall 'P 2 -2'
_cell_length_a 2.612
_cell_length_b 4.058
_cell_length_c 5.474
_cell_angle_alpha 90.00
_cell_angle_beta 90.00
_cell_angle_gamma 90.00
loop_
_atom_site_label
_atom_site_fract_x
_atom_site_fract_y
_atom_site_fract_z
Li1 0.000 0.000 0.000
Li2 0.500 0.500 0.238
Al1 0.500 0.500 0.697
Os1 0.000 0.000 0.507


Entry 7:
# PBE Li3AlOs, relaxed
# Spin magnetization ... 0.04 μB/atom
# Calculated total energy ... -3.0748 eV/atom
# Polymorph energy (0 for the lowest one) ... 0.000 eV/atom
# Formation enthalpy at 0 K ... 1.068 eV/atom
# Calculated volume ... 99.90 Å³ per cell
data_Li3AlOs
_chemical_formula_sum 'Li3 Al1 Os1'
_space_group_name_H-M_alt 'P m -3 m'
_space_group_IT_number 221
_space_group_name_Hall '-P 4 2 3'
_cell_length_a 4.640
_cell_length_b 4.640
_cell_length_c 4.640
_cell_angle_alpha 90.00
_cell_angle_beta 90.00
_cell_angle_gamma 90.00
loop_
_atom_site_label
_atom_site_fract_x
_atom_site_fract_y
_atom_site_fract_z
Li1 0.000 0.000 0.500
Al1 0.500 0.500 0.500
Os1 0.000 0.000 0.000


Entry 8:
# PBE LiAl3Os, relaxed
# Spin magnetization ... 0.00 μB/atom
# Calculated total energy ... -4.9763 eV/atom
# Polymorph energy (0 for the lowest one) ... 0.000 eV/atom
# Formation enthalpy at 0 K ... -0.102 eV/atom
# Calculated volume ... 108.42 Å³ per cell
data_LiAl3Os
_chemical_formula_sum 'Li1 Al3 Os1'
_space_group_name_H-M_alt 'P m -3 m'
_space_group_IT_number 221
_space_group_name_Hall '-P 4 2 3'
_cell_length_a 4.768
_cell_length_b 4.768
_cell_length_c 4.768
_cell_angle_alpha 90.00
_cell_angle_beta 90.00
_cell_angle_gamma 90.00
loop_
_atom_site_label
_atom_site_fract_x
_atom_site_fract_y
_atom_site_fract_z
Li1 0.000 0.000 0.000
Al1 0.000 0.500 0.500
Os1 0.500 0.500 0.500


spin magnetization of number 3 (LiAl2Os)?
0.00 μB/atom